Entry 1:
TiVTcAu, optimized geometry, DFT PBE-GGA; formation enthalpy at 0 K = -154 meV/atom; uncorrected energy = -7.82 eV per atom; calculated volume = 247 Å³ per cell; space group = F-43m, No. 216
1.0
6.278 0.000 0.000
0.000 6.278 0.000
0.000 0.000 6.278
Ti V Tc Au
4 4 4 4
Cartesian
0.000 0.000 0.000
0.000 3.139 3.139
3.139 0.000 3.139
3.139 3.139 0.000
0.000 0.000 3.139
0.000 3.139 0.000
3.139 0.000 0.000
3.139 3.139 3.139
1.570 1.570 1.570
1.570 4.709 4.709
4.709 1.570 4.709
4.709 4.709 1.570
1.570 1.570 4.709
1.570 4.709 1.570
4.709 1.570 1.570
4.709 4.709 4.709

***

Entry 2:
TlTcAu, optimized geometry, DFT PBE-GGA; E above lowest polymorph = 55.0 meV per atom; formation enthalpy at 0 K = 667 meV/atom; uncorrected energy = -4.67 eV per atom; calculated volume = 231 Å³ per cell; space group = Fmm2, No. 42
1.0
3.034 0.000 0.000
0.000 5.153 0.000
0.000 0.000 14.751
Tl Tc Au
4 4 4
Cartesian
0.000 0.000 0.000
0.000 2.577 7.375
1.517 0.000 7.375
1.517 2.577 0.000
0.000 0.000 4.921
0.000 2.577 12.297
1.517 0.000 12.297
1.517 2.577 4.921
0.000 0.000 10.007
0.000 2.577 2.631
1.517 0.000 2.631
1.517 2.577 10.007

***

Entry 3:
Tl4TcAu, optimized geometry, DFT PBE-GGA; formation enthalpy at 0 K = 929 meV/atom; uncorrected energy = -2.92 eV per atom; calculated volume = 167 Å³ per cell; space group = F-43m, No. 216
1.0
0.000 4.367 4.367
4.367 0.000 4.367
4.367 4.367 0.000
Tl Tc Au
4 1 1
Cartesian
1.092 1.092 1.092
3.275 3.275 1.092
3.275 1.092 3.275
1.092 3.275 3.275
4.367 4.367 4.367
6.551 6.551 6.551

***

Entry 4:
TlTcAu, optimized geometry, DFT PBE-GGA; E above lowest polymorph = 0.2 meV per atom; formation enthalpy at 0 K = 612 meV/atom; uncorrected energy = -4.72 eV per atom; calculated volume = 57 Å³ per cell; space group = P3m1, No. 156
1.0
3.032 0.000 0.000
-1.516 2.626 0.000
0.000 0.000 7.118
Tl Tc Au
1 1 1
Cartesian
0.000 0.000 0.000
0.000 1.750 4.755
1.516 0.875 2.576

***

Entry 5:
TlTcAu, optimized geometry, DFT PBE-GGA; E above lowest polymorph = 168.8 meV per atom; formation enthalpy at 0 K = 781 meV/atom; uncorrected energy = -4.56 eV per atom; calculated volume = 269 Å³ per cell; space group = F-43m, No. 216
1.0
6.452 0.000 0.000
0.000 6.452 0.000
0.000 0.000 6.452
Tl Tc Au
4 4 4
Cartesian
0.000 0.000 0.000
0.000 3.226 3.226
3.226 0.000 3.226
3.226 3.226 0.000
1.613 1.613 4.839
1.613 4.839 1.613
4.839 1.613 1.613
4.839 4.839 4.839
0.000 0.000 3.226
0.000 3.226 0.000
3.226 0.000 0.000
3.226 3.226 3.226

***

Entry 6:
TlTcAu, optimized geometry, DFT PBE-GGA; E above lowest polymorph = 0.0 meV per atom; formation enthalpy at 0 K = 612 meV/atom; uncorrected energy = -4.72 eV per atom; calculated volume = 114 Å³ per cell; space group = I4mm, No. 107
1.0
3.005 0.000 0.000
0.000 3.005 0.000
0.000 0.000 12.644
Tl Tc Au
2 2 2
Cartesian
0.000 0.000 0.000
1.502 1.502 6.322
0.000 0.000 4.236
1.502 1.502 10.559
0.000 0.000 8.693
1.502 1.502 2.371

***

Entry 7:
Tl3TcAu, optimized geometry, DFT PBE-GGA; E above lowest polymorph = 0.0 meV per atom; formation enthalpy at 0 K = 640 meV/atom; uncorrected energy = -3.51 eV per atom; calculated volume = 151 Å³ per cell; space group = Pm-3m, No. 221
1.0
5.320 0.000 0.000
0.000 5.320 0.000
0.000 0.000 5.320
Tl Tc Au
3 1 1
Cartesian
0.000 0.000 2.660
0.000 2.660 0.000
2.660 0.000 0.000
0.000 0.000 0.000
2.660 2.660 2.660

***

Entry 8:
TlTcAu3, optimized geometry, DFT PBE-GGA; E above lowest polymorph = 0.0 meV per atom; formation enthalpy at 0 K = 808 meV/atom; uncorrected energy = -3.70 eV per atom; calculated volume = 136 Å³ per cell; space group = Pm-3m, No. 221
1.0
5.149 0.000 0.000
0.000 5.149 0.000
0.000 0.000 5.149
Tl Tc Au
1 1 3
Cartesian
0.000 0.000 0.000
2.574 2.574 2.574
0.000 2.574 2.574
2.574 0.000 2.574
2.574 2.574 0.000

***

Q: Among the records above, which one has the lowest uncorrected energy?
A: TiVTcAu

***

Q: Look up the formation enthalpy at 0 K of the fourth one.
A: 612 meV/atom

***

Copy entry 2 word for word.
TlTcAu, optimized geometry, DFT PBE-GGA; E above lowest polymorph = 55.0 meV per atom; formation enthalpy at 0 K = 667 meV/atom; uncorrected energy = -4.67 eV per atom; calculated volume = 231 Å³ per cell; space group = Fmm2, No. 42
1.0
3.034 0.000 0.000
0.000 5.153 0.000
0.000 0.000 14.751
Tl Tc Au
4 4 4
Cartesian
0.000 0.000 0.000
0.000 2.577 7.375
1.517 0.000 7.375
1.517 2.577 0.000
0.000 0.000 4.921
0.000 2.577 12.297
1.517 0.000 12.297
1.517 2.577 4.921
0.000 0.000 10.007
0.000 2.577 2.631
1.517 0.000 2.631
1.517 2.577 10.007